1.
The following is a DFT calculation (GGA-PBE) of a relaxed TaTlNO crystal.

The crystal system is orthorhombic. The polymorph energy (0 for the lowest one) is 9 meV per atom.

Cell and atoms, written as CIF:
```
data_TaTlNO
_cell_length_a 6.0477
_cell_length_b 3.6394
_cell_length_c 6.8184
_cell_angle_alpha 90.00
_cell_angle_beta 90.00
_cell_angle_gamma 90.00
_space_group_name_H-M_alt 'P m m a'
_space_group_IT_number 51
_space_group_name_Hall '-P 2a 2a'
loop_
_atom_site_label
_atom_site_type_symbol
_atom_site_fract_x
_atom_site_fract_y
_atom_site_fract_z
_atom_site_occupancy
Ta1 Ta 0.2500 0.0000 0.1688 1
Tl1 Tl 0.2500 0.5000 0.6731 1
N1 N 0.0000 0.0000 0.0000 1
O1 O 0.2500 0.5000 0.2751 1
```



2.
The following is a DFT calculation (GGA-PBE) of a relaxed Fe2PdPb crystal.

As for the total energy: -98.26 eV per cell. The crystal system is cubic.

Cell and atoms, written as CIF:
```
data_Fe2PdPb
_cell_length_a 6.3278
_cell_length_b 6.3278
_cell_length_c 6.3278
_cell_angle_alpha 90.00
_cell_angle_beta 90.00
_cell_angle_gamma 90.00
_space_group_name_H-M_alt 'F -4 3 m'
_space_group_IT_number 216
_space_group_name_Hall 'F -4 2 3'
loop_
_atom_site_label
_atom_site_type_symbol
_atom_site_fract_x
_atom_site_fract_y
_atom_site_fract_z
_atom_site_occupancy
Fe1 Fe 0.0000 0.0000 0.0000 1
Fe2 Fe 0.2500 0.2500 0.2500 1
Pd1 Pd 0.0000 0.0000 0.5000 1
Pb1 Pb 0.2500 0.2500 0.7500 1
```



3.
The following is a DFT calculation (GGA-PBE) of a relaxed Hf2Ta4Cd3C3 crystal.

As for the total energy: -411.44 eV per cell. The crystal system is monoclinic.

Cell and atoms, written as CIF:
```
data_Hf2Ta4Cd3C3
_cell_length_a 9.6106
_cell_length_b 5.5472
_cell_length_c 14.9938
_cell_angle_alpha 90.00
_cell_angle_beta 102.41
_cell_angle_gamma 90.00
_space_group_name_H-M_alt 'C 1 2/c 1'
_space_group_IT_number 15
_space_group_name_Hall '-C 2yc'
loop_
_atom_site_label
_atom_site_type_symbol
_atom_site_fract_x
_atom_site_fract_y
_atom_site_fract_z
_atom_site_occupancy
Hf1 Hf 0.0501 0.0806 0.4089 1
Ta1 Ta 0.1099 0.4111 0.5786 1
Ta2 Ta 0.2263 0.4199 0.9214 1
Cd1 Cd 0.0000 0.4609 0.2500 1
Cd2 Cd 0.1900 0.1069 0.7516 1
C1 C 0.0841 0.2520 0.0000 1
C2 C 0.2500 0.2500 0.5000 1
```



4.
The following is a DFT calculation (GGA-PBE) of a relaxed CsZrAuSe3 crystal.

The crystal system is monoclinic. The polymorph energy (0 for the lowest one) is 189 meV per atom.

Cell and atoms, written as CIF:
```
data_CsZrAuSe3
_cell_length_a 18.2858
_cell_length_b 3.9100
_cell_length_c 9.2637
_cell_angle_alpha 90.00
_cell_angle_beta 93.52
_cell_angle_gamma 90.00
_space_group_name_H-M_alt 'C 1 2/m 1'
_space_group_IT_number 12
_space_group_name_Hall '-C 2y'
loop_
_atom_site_label
_atom_site_type_symbol
_atom_site_fract_x
_atom_site_fract_y
_atom_site_fract_z
_atom_site_occupancy
Cs1 Cs 0.1428 0.0000 0.0837 1
Zr1 Zr 0.1524 0.0000 0.5773 1
Au1 Au 0.0388 0.5000 0.7246 1
Se1 Se 0.0000 0.0000 0.5000 1
Se2 Se 0.0000 0.5000 0.0000 1
Se3 Se 0.1775 0.5000 0.7755 1
Se4 Se 0.1863 0.5000 0.3905 1
```



5.
The following is a DFT calculation (GGA-PBE) of a relaxed Dy2CuPd crystal.

The crystal system is monoclinic. Its energy of formation from the pure elements is -2.38 eV per formula unit.

Cell and atoms, written as CIF:
```
data_Dy2CuPd
_cell_length_a 5.5465
_cell_length_b 4.4569
_cell_length_c 7.1150
_cell_angle_alpha 90.00
_cell_angle_beta 90.04
_cell_angle_gamma 90.00
_space_group_name_H-M_alt 'P 1 21/m 1'
_space_group_IT_number 11
_space_group_name_Hall '-P 2yb'
loop_
_atom_site_label
_atom_site_type_symbol
_atom_site_fract_x
_atom_site_fract_y
_atom_site_fract_z
_atom_site_occupancy
Dy1 Dy 0.1310 0.2500 0.3178 1
Dy2 Dy 0.3623 0.2500 0.8200 1
Cu1 Cu 0.3803 0.7500 0.5340 1
Pd1 Pd 0.1540 0.7500 0.0460 1
```



6.
The following is a DFT calculation (GGA-PBE) of a relaxed NiBW crystal.

As for the total energy: -204.02 eV per cell. The crystal system is orthorhombic.

Cell and atoms, written as CIF:
```
data_NiBW
_cell_length_a 4.5183
_cell_length_b 7.6061
_cell_length_c 7.7288
_cell_angle_alpha 90.00
_cell_angle_beta 90.00
_cell_angle_gamma 90.00
_space_group_name_H-M_alt 'F m m m'
_space_group_IT_number 69
_space_group_name_Hall '-F 2 2'
loop_
_atom_site_label
_atom_site_type_symbol
_atom_site_fract_x
_atom_site_fract_y
_atom_site_fract_z
_atom_site_occupancy
Ni1 Ni 0.0000 0.1781 0.0000 1
B1 B 0.2500 0.2500 0.2500 1
W1 W 0.0000 0.0000 0.3340 1
```